No. 1
# Nd3SmEr2Se6

Crystalline Nd3SmEr2Se6 at its relaxed geometry (PBE, the Alexandria database).

a b c (Å): 7.134 12.414 7.285
angles (deg): 90.00 109.15 90.00
Space group C2/m (No. 12)
One atom of each set of equivalent atoms:
Nd 0.000 0.000 0.000 [2 per cell]
Nd 0.000 0.339 0.000 [4 per cell]
Sm 0.000 0.500 0.500 [2 per cell]
Er 0.000 0.166 0.500 [4 per cell]
Se 0.236 0.000 0.733 [4 per cell]
Se 0.250 0.171 0.262 [8 per cell]

Properties
Total magnetic moment (μB/atom): 0.000
Formation energy from raw total energies (eV per atom): -1.79
Theoretical density (g/cm3): 7.58
Crystal system: monoclinic

---

No. 2
# Nd2SmErSe4

Crystalline Nd2SmErSe4 at its relaxed geometry (PBE, the Alexandria database).

a b c (Å): 7.202 4.102 7.324
angles (deg): 90.00 108.65 90.00
Space group P2/m (No. 10)
One atom of each set of equivalent atoms:
Nd 0.000 0.000 0.000 [1 per cell]
Nd 0.500 0.500 0.000 [1 per cell]
Sm 0.000 0.500 0.500 [1 per cell]
Er 0.500 0.000 0.500 [1 per cell]
Se 0.253 0.000 0.740 [2 per cell]
Se 0.261 0.500 0.264 [2 per cell]

Properties
Total magnetic moment (μB/atom): 0.000
Formation energy from raw total energies (eV per atom): -1.80
Theoretical density (g/cm3): 7.47
Crystal system: monoclinic

---

No. 3
# Nd2SmEr3Se6

Crystalline Nd2SmEr3Se6 at its relaxed geometry (PBE, the Alexandria database).

a b c (Å): 18.111 4.075 8.365
angles (deg): 90.00 105.20 90.00
Space group C2/m (No. 12)
One atom of each set of equivalent atoms:
Nd 0.167 0.000 0.334 [4 per cell]
Sm 0.000 0.500 0.000 [2 per cell]
Er 0.000 0.500 0.500 [2 per cell]
Er 0.168 0.000 0.833 [4 per cell]
Se 0.004 0.000 0.743 [4 per cell]
Se 0.162 0.500 0.594 [4 per cell]
Se 0.169 0.500 0.072 [4 per cell]

Properties
Total magnetic moment (μB/atom): 0.000
Formation energy from raw total energies (eV per atom): -1.77
Theoretical density (g/cm3): 7.88
Crystal system: monoclinic